[1]
Crystalline NaCu2Au at its relaxed geometry, computed with PBE-GGA.

```
NaCu2Au
1.0
-2.2876 2.2876 8.9798
2.2876 -2.2876 8.9798
2.2876 2.2876 -8.9798
Na Cu Au
2 4 2
Cartesian
0.0000 0.0000 0.0000
0.0000 2.2876 4.4899
1.1438 -0.1687 6.7349
2.1189 1.1438 2.2450
1.1438 2.4563 -2.2450
0.1687 1.1438 11.2248
2.2876 0.0000 4.4899
0.0000 0.0000 8.9798
```

## Properties
V = 23.50 A^3/atom
magnetization = 0.0 μB/cell
energy relative to the elements = 0.21 eV/atom
ΔE to the lowest computed polymorph = 122 meV per atom
density of states at the Fermi level = 0.262 states/eV per atom
space group = I-42d

[2]
Crystalline Na3CuAu at its relaxed geometry, computed with PBE-GGA.

```
Na3CuAu
1.0
5.5190 0.0000 0.0000
0.0000 5.5190 0.0000
0.0000 0.0000 5.5190
Na Cu Au
3 1 1
Cartesian
0.0000 0.0000 2.7595
0.0000 2.7595 0.0000
2.7595 0.0000 0.0000
2.7595 2.7595 2.7595
0.0000 0.0000 0.0000
```

## Properties
V = 33.62 A^3/atom
magnetization = 0.0 μB/cell
energy relative to the elements = 0.28 eV/atom
density of states at the Fermi level = 0.665 states/eV per atom
space group = Pm-3m

[3]
Crystalline NaCu2Au9 at its relaxed geometry, computed with PBE-GGA.

```
NaCu2Au9
1.0
-5.6640 5.6640 3.5333
5.6640 -5.6640 3.5333
5.6640 5.6640 -3.5333
Na Cu Au
2 4 18
Cartesian
5.6640 2.8320 0.8833
0.0000 2.8320 2.6500
0.0000 0.0000 0.0000
2.8320 2.8320 -1.7666
2.8320 -2.8320 1.7666
0.0000 5.6640 0.0000
5.6640 -2.8320 2.6500
4.2939 -0.5993 1.2799
7.0341 -0.5993 1.2799
2.2327 1.4619 0.4867
9.0953 1.4619 0.4867
4.2939 5.0647 -1.2799
1.3701 -0.5993 2.2534
2.2327 4.2021 0.4867
3.4313 -1.4619 4.0200
2.2327 7.1259 -0.4867
3.4313 1.4619 3.0465
4.2939 6.2633 1.2799
1.3701 0.5993 4.8132
-3.4313 4.2021 3.0465
3.4313 4.2021 3.0465
-1.3701 6.2633 2.2534
1.3701 6.2633 2.2534
0.0000 8.4960 0.8833
```

## Properties
V = 18.89 A^3/atom
magnetization = 0.0 μB/cell
energy relative to the elements = -0.07 eV/atom
density of states at the Fermi level = 0.296 states/eV per atom
space group = I4_1/amd

[4]
Crystalline NaNdCuAu at its relaxed geometry, computed with PBE-GGA.

```
NaNdCuAu
1.0
0.0000 3.5617 3.5617
3.5617 0.0000 3.5617
3.5617 3.5617 0.0000
Na Nd Cu Au
1 1 1 1
Cartesian
0.0000 0.0000 0.0000
3.5617 3.5617 3.5617
1.7808 1.7808 1.7808
5.3425 5.3425 5.3425
```

## Properties
V = 22.59 A^3/atom
magnetization = 0.0 μB/cell
energy relative to the elements = -0.25 eV/atom
density of states at the Fermi level = 0.807 states/eV per atom
space group = F-43m